Computed, not measured: Ca2MgSi3Au4 after structural relaxation at the PBE-GGA level of DFT.

crystal system	tetragonal
ΔE_f (raw)	-0.518	eV per atom

a b c (Å): 4.297 4.297 10.840
angles (deg): 90.00 90.00 90.00
Space group P-4m2 (No. 115)
One atom of each set of equivalent atoms:
Ca  0.000  0.500  0.237 [2 per cell]
Mg  0.000  0.000  0.500 [1 per cell]
Si  0.000  0.500  0.867 [2 per cell]
Si  0.500  0.500  0.500 [1 per cell]
Au  0.000  0.000  0.000 [1 per cell]
Au  0.000  0.500  0.643 [2 per cell]
Au  0.500  0.500  0.000 [1 per cell]

***

Computed, not measured: Cd2InPI after structural relaxation at the PBE-GGA level of DFT.

crystal system	tetragonal
ΔE_f (raw)	0.035	eV per atom

a b c (Å): 5.223 5.223 5.884
angles (deg): 90.00 90.00 90.00
Space group P4/mmm (No. 123)
One atom of each set of equivalent atoms:
Cd  0.000  0.500  0.000 [2 per cell]
In  0.000  0.000  0.500 [1 per cell]
P  0.000  0.000  0.000 [1 per cell]
I  0.500  0.500  0.500 [1 per cell]

***

Computed, not measured: SrZr2Ru after structural relaxation at the PBE-GGA level of DFT.

crystal system	tetragonal
energy above the lowest structure with this stoichiometry	476	meV/atom
formation energy	0.53	eV per atom

a b c (Å): 4.955 4.955 3.585
angles (deg): 90.00 90.00 90.00
Space group P4/mmm (No. 123)
One atom of each set of equivalent atoms:
Sr  0.000  0.000  0.000 [1 per cell]
Zr  0.000  0.500  0.500 [2 per cell]
Ru  0.500  0.500  0.000 [1 per cell]

***

Computed, not measured: Sm4Y2ErSc after structural relaxation at the PBE-GGA level of DFT.

crystal system	monoclinic
formation energy	0.03	eV per atom

a b c (Å): 6.157 3.569 11.700
angles (deg): 90.00 100.30 90.00
Space group P2/m (No. 10)
One atom of each set of equivalent atoms:
Sm  0.244  0.000  0.243 [2 per cell]
Sm  0.249  0.500  0.750 [2 per cell]
Y  0.500  0.000  0.000 [1 per cell]
Y  0.500  0.500  0.500 [1 per cell]
Er  0.000  0.000  0.500 [1 per cell]
Sc  0.000  0.500  0.000 [1 per cell]

***

Computed, not measured: DyHo2In after structural relaxation at the PBE-GGA level of DFT.

crystal system	cubic
energy above the lowest structure with this stoichiometry	152	meV/atom
formation energy	-0.11	eV per atom

a b c (Å): 7.676 7.676 7.676
angles (deg): 90.00 90.00 90.00
Space group Fm-3m (No. 225)
One atom of each set of equivalent atoms:
Dy  0.000  0.000  0.000 [4 per cell]
Ho  0.250  0.250  0.250 [8 per cell]
In  0.000  0.000  0.500 [4 per cell]

***

Computed, not measured: ErPaBeO6 after structural relaxation at the PBE-GGA level of DFT.

crystal system	trigonal
ΔE_f (raw)	-2.556	eV per atom

a b c (Å): 5.2052 5.2052 4.8003
angles (deg): 90.00 90.00 120.00
Space group P312 (No. 149)
One atom of each set of equivalent atoms:
Er  0.0000  0.0000  0.0000 [1 per cell]
Pa  0.6667  0.3333  0.5000 [1 per cell]
Be  0.3333  0.6667  0.0000 [1 per cell]
O  0.0257  0.3837  0.2287 [6 per cell]

***

Computed, not measured: Hf6IrPt after structural relaxation at the PBE-GGA level of DFT.

crystal system	monoclinic
formation energy	-0.07	eV per atom

a b c (Å): 6.084 10.851 6.083
angles (deg): 90.00 119.99 90.00
Space group C2/m (No. 12)
One atom of each set of equivalent atoms:
Hf  0.248  0.000  0.252 [4 per cell]
Hf  0.248  0.208  0.747 [8 per cell]
Ir  0.000  0.000  0.500 [2 per cell]
Pt  0.000  0.500  0.000 [2 per cell]

***

Computed, not measured: CeErInSn after structural relaxation at the PBE-GGA level of DFT.

crystal system	orthorhombic
energy above the lowest structure with this stoichiometry	0	meV/atom
formation energy	-0.50	eV per atom

a b c (Å): 4.462 4.898 4.937
angles (deg): 90.00 90.00 90.00
Space group Pmmm (No. 47)
One atom of each set of equivalent atoms:
Ce  0.000  0.000  0.000 [1 per cell]
Er  0.000  0.500  0.500 [1 per cell]
In  0.500  0.000  0.500 [1 per cell]
Sn  0.500  0.500  0.000 [1 per cell]

***

Computed, not measured: Sc2Al3Re after structural relaxation at the PBE-GGA level of DFT.

crystal system	trigonal
formation energy	-0.47	eV per atom

a b c (Å): 5.3155 5.3155 12.8988
angles (deg): 90.00 90.00 120.00
Space group R-3m (No. 166, hexagonal axes)
One atom of each set of equivalent atoms:
Sc  0.0000  0.0000  0.1289 [6 per cell]
Al  0.0000  0.5000  0.0000 [9 per cell]
Re  0.0000  0.0000  0.5000 [3 per cell]

***

Computed, not measured: BaMnIr after structural relaxation at the PBE-GGA level of DFT.

crystal system	tetragonal
energy above the lowest structure with this stoichiometry	0	meV/atom
formation energy	0.01	eV per atom

a b c (Å): 4.256 4.256 8.530
angles (deg): 90.00 90.00 90.00
Space group P4/nmm (No. 129, origin choice 2)
One atom of each set of equivalent atoms:
Ba  0.250  0.250  0.177 [2 per cell]
Mn  0.250  0.750  0.500 [2 per cell]
Ir  0.250  0.250  0.671 [2 per cell]

***

Computed, not measured: ScAgOs2 after structural relaxation at the PBE-GGA level of DFT.

crystal system	tetragonal
energy above the lowest structure with this stoichiometry	368	meV/atom
formation energy	0.44	eV per atom

a b c (Å): 2.753 2.753 8.629
angles (deg): 90.00 90.00 90.00
Space group P4/mmm (No. 123)
One atom of each set of equivalent atoms:
Sc  0.000  0.000  0.000 [1 per cell]
Ag  0.000  0.000  0.500 [1 per cell]
Os  0.500  0.500  0.247 [2 per cell]

***

Computed, not measured: Rb2SrBe2S4 after structural relaxation at the PBE-GGA level of DFT.

crystal system	monoclinic
ΔE_f (raw)	-1.282	eV per atom

a b c (Å): 15.429 3.915 8.181
angles (deg): 90.00 113.93 90.00
Space group C2/m (No. 12)
One atom of each set of equivalent atoms:
Rb  0.127  0.000  0.055 [4 per cell]
Sr  0.000  0.000  0.500 [2 per cell]
Be  0.176  0.500  0.460 [4 per cell]
S  0.038  0.500  0.273 [4 per cell]
S  0.212  0.000  0.628 [4 per cell]

***

Values for electronic total energy, eV per atom, ordered as above
-4.015 -2.270 -6.482 -5.306 -4.238 -7.837 -9.403 -4.808 -6.531 -6.637 -7.469 -4.346